Computed, not measured: PmSmBr2 after structural relaxation at the PBE level of DFT.

Cell lengths 3.7366, 7.1639, 9.5200 Å; angles 90.00, 90.04, 90.00 degrees
Last column: nearest neighbours and their distance in Å.
Space group P2_1 (No. 4)
Asymmetric unit:
Pm 0.2493 0.0000 0.4234  4 Br 2.93-3.24
Sm 0.2518 0.1855 0.7968  4 Br 2.90-3.13
Br 0.2485 0.9709 0.0834  3 Sm 2.99-3.13, 1 Pm 3.24
Br 0.2509 0.8050 0.6942  1 Sm 2.90, 3 Pm 2.93-3.09

Summary:
- Energy relative to the elements, uncorrected: -1.093 eV/atom
- Energy above the lowest structure with this stoichiometry: 0.018 eV/atom
- Total magnetization: 0.00 μB per formula unit
- Fermi-level density of states: 0.983 states/eV/atom



Computed, not measured: As2RuBr after structural relaxation at the PBE level of DFT.

Cell lengths 3.1973, 3.4195, 7.5542 Å; angles 90.00, 90.00, 90.00 degrees
Last column: nearest neighbours and their distance in Å.
Space group Pmm2 (No. 25)
Asymmetric unit:
As 0.0000 0.0000 0.0000  1 Ru 2.56, 4 As 2.76
As 0.5000 0.5000 0.1948  4 Ru 2.58, 4 As 2.76
Ru 0.0000 0.0000 0.3395  5 As 2.56-2.58
Br 0.5000 0.5000 0.5976  1 As 3.04, 4 Ru 3.05, 2 Br 3.20

Summary:
- Energy relative to the elements, uncorrected: 0.250 eV/atom
- Energy above the lowest structure with this stoichiometry: 0.325 eV/atom
- Total magnetization: 0.00 μB per formula unit
- Fermi-level density of states: 0.787 states/eV/atom



Computed, not measured: Sm2ErPb9 after structural relaxation at the PBE level of DFT.

Cell lengths 4.8979, 4.8979, 14.6771 Å; angles 90.00, 90.00, 90.00 degrees
Last column: nearest neighbours and their distance in Å.
Space group P4/mmm (No. 123)
Asymmetric unit:
Sm 0.0000 0.0000 0.1671  12 Pb 3.46-3.49
Er 0.0000 0.0000 0.5000  12 Pb 3.43-3.46
Pb 0.0000 0.5000 0.0000  8 Pb 3.46-3.48, 4 Sm 3.47
Pb 0.0000 0.5000 0.3363  8 Pb 3.43-3.48, 2 Er 3.43, 2 Sm 3.49
Pb 0.5000 0.5000 0.1682  4 Sm 3.46, 8 Pb 3.48
Pb 0.5000 0.5000 0.5000  8 Pb 3.43, 4 Er 3.46

Summary:
- Total magnetization: 0.00 μB per formula unit
- Energy of formation from the pure elements: -0.309 eV/atom
- Fermi-level density of states: 0.528 states/eV/atom



Computed, not measured: Cd2MoCl after structural relaxation at the PBE level of DFT.

Cell lengths 4.2910, 4.2910, 9.1791 Å; angles 90.00, 90.00, 90.00 degrees
Last column: nearest neighbours and their distance in Å.
Space group I-4m2 (No. 119)
Asymmetric unit:
Cd 0.0000 0.0000 0.0000  4 Mo 3.03, 4 Cd 3.14, 4 Cl 3.14
Cd 0.0000 0.5000 0.2500  4 Cl 3.03, 4 Cd 3.14, 4 Mo 3.14
Mo 0.0000 0.0000 0.5000  8 Cd 3.03-3.14, 4 Cl 3.14
Cl 0.0000 0.5000 0.7500  8 Cd 3.03-3.14, 4 Mo 3.14

Summary:
- Energy relative to the elements, uncorrected: 0.573 eV/atom
- Energy above the lowest structure with this stoichiometry: 0.439 eV/atom
- Total magnetization: 3.20 μB per formula unit
- Fermi-level density of states: 0.460 states/eV/atom



Computed, not measured: Nd4MgTl5 after structural relaxation at the PBE level of DFT.

Cell lengths 3.7064, 3.7064, 20.7130 Å; angles 90.00, 90.00, 90.00 degrees
Last column: nearest neighbours and their distance in Å.
Space group P4/mmm (No. 123)
Asymmetric unit:
Nd 0.0000 0.0000 0.1039  8 Tl 3.39-3.41, 4 Nd 3.71
Nd 0.0000 0.0000 0.3126  8 Tl 3.39, 4 Nd 3.71
Mg 0.0000 0.0000 0.5000  8 Tl 3.14
Tl 0.5000 0.5000 0.0000  8 Nd 3.39, 4 Tl 3.71
Tl 0.5000 0.5000 0.2088  8 Nd 3.39-3.41, 4 Tl 3.71
Tl 0.5000 0.5000 0.4162  4 Mg 3.14, 4 Nd 3.39, 1 Tl 3.47

Summary:
- Total magnetization: 0.00 μB per formula unit
- Energy of formation from the pure elements: -0.333 eV/atom
- Fermi-level density of states: 0.687 states/eV/atom



Computed, not measured: LuHfHgPt after structural relaxation at the PBE level of DFT.

Cell lengths 6.9303, 6.9303, 6.9303 Å; angles 90.00, 90.00, 90.00 degrees
Last column: nearest neighbours and their distance in Å.
Space group F-43m (No. 216)
Asymmetric unit:
Lu 0.0000 0.0000 0.0000  4 Hg 3.00, 4 Pt 3.00
Hf 0.0000 0.0000 0.5000  4 Hg 3.00, 4 Pt 3.00
Hg 0.2500 0.2500 0.7500  4 Lu 3.00, 4 Hf 3.00
Pt 0.2500 0.2500 0.2500  4 Hf 3.00, 4 Lu 3.00

Summary:
- Total magnetization: 0.00 μB per formula unit
- Energy of formation from the pure elements: -0.600 eV/atom
- Fermi-level density of states: 1.247 states/eV/atom



Number 1: total DFT energy (no corrections) -4.2964 eV per atom. Number 2: total DFT energy (no corrections) -4.8122 eV per atom. Number 3: total DFT energy (no corrections) -4.2574 eV per atom. Number 4: total DFT energy (no corrections) -3.0539 eV per atom. Number 5: total DFT energy (no corrections) -3.5832 eV per atom. Number 6: total DFT energy (no corrections) -5.8047 eV per atom.